Computed, not measured: YTa2Mo at its PBEsol-relaxed geometry at the SCAN level of DFT.

Cell: 3.247 4.930 5.638 Å, 115.92 106.73 90.00°
Element x y z (fractional)
Y: 0.500 0.000 0.000
Ta: 0.723 0.723 0.446
Ta: 0.277 0.277 0.554
Mo: 0.000 0.500 0.000

Calculated values
Energy of formation (eV/atom): 0.29
Crystal system: orthorhombic
Density of states at the Fermi level (states/eV/f.u.): 5.10
Final energy (eV for the cell shown): -194.72
Polymorph energy (0 for the lowest one) (eV per atom): 0.000
Volume (Å³ per cell): 76.9